An optimized crystal structure of Y2HPbS. Source: Alexandria, functional PBE-GGA.

a b c (Å): 5.8080 5.8080 5.3846
angles (deg): 90.00 90.00 90.00
Last column: nearest neighbours and their distance in Å.
Space group P4/mmm (No. 123)
One atom of each set of equivalent atoms:
Y  0.0000  0.5000  0.0000 (multiplicity 2)  2 Pb 2.90
H  0.0000  0.0000  0.5000 (multiplicity 1)  8 Y 3.96, 4 S 4.11
Pb  0.5000  0.5000  0.0000 (multiplicity 1)  2 S 2.69, 4 Y 2.90
S  0.5000  0.5000  0.5000 (multiplicity 1)  2 Pb 2.69

Summary:
Crystal system = tetragonal
E_tot = -20.420 eV for the cell shown
N(E_F) = 3.109 states/eV/cell



An optimized crystal structure of SbH3Pb. Source: Alexandria, functional PBE-GGA.

a b c (Å): 4.2224 4.2224 4.2224
angles (deg): 90.00 90.00 90.00
Last column: nearest neighbours and their distance in Å.
Space group Pm-3m (No. 221)
One atom of each set of equivalent atoms:
Sb  0.0000  0.0000  0.0000 (multiplicity 1)  12 H 2.99
H  0.0000  0.5000  0.5000 (multiplicity 3)  2 Pb 2.11
Pb  0.5000  0.5000  0.5000 (multiplicity 1)  6 H 2.11

Summary:
Crystal system = cubic
E_tot = -13.854 eV for the cell shown
N(E_F) = 3.357 states/eV/cell



An optimized crystal structure of SbH2Pb. Source: Alexandria, functional PBE-GGA.

a b c (Å): 3.0722 6.9085 8.5470
angles (deg): 73.20 88.78 82.14
Last column: nearest neighbours and their distance in Å.
Space group P-1 (No. 2)
One atom of each set of equivalent atoms:
Sb  0.0441  0.3661  0.1702 (multiplicity 2)  3 Sb 2.96-3.07, 2 H 3.11-3.29, 2 Pb 3.21
H  0.2797  0.9329  0.1274 (multiplicity 2)  1 H 0.76
H  0.3022  0.8268  0.1173 (multiplicity 2)  1 H 0.76
Pb  0.0000  0.0000  0.5000 (multiplicity 1)  2 Pb 3.07, 2 Sb 3.21, 2 H 3.42
Pb  0.0000  0.5000  0.5000 (multiplicity 1)  2 Pb 3.07, 2 Sb 3.21

Summary:
Crystal system = triclinic
E_tot = -27.945 eV for the cell shown
N(E_F) = 1.661 states/eV/cell



An optimized crystal structure of SbH2Pb2. Source: Alexandria, functional PBE-GGA.

a b c (Å): 9.0126 3.7587 7.0167
angles (deg): 90.00 109.75 90.00
Last column: nearest neighbours and their distance in Å.
Space group C2/m (No. 12)
One atom of each set of equivalent atoms:
Sb  0.0000  0.0000  0.0000 (multiplicity 2)  6 Pb 3.24-3.27
H  0.1561  0.5000  0.5323 (multiplicity 4)  3 Pb 2.22-2.37
Pb  0.2153  0.0000  0.7116 (multiplicity 4)  3 H 2.22-2.37

Summary:
Crystal system = monoclinic
E_tot = -33.328 eV for the cell shown
N(E_F) = 1.252 states/eV/cell